Here is a geometry-optimized YFe2Bi2 structure from Alexandria. Energies are from PBE.

Cell lengths 4.964, 4.964, 9.106 Å; angles 90.00, 90.00, 90.00 degrees
Space group I4/mmm (No. 139)
Symmetry-distinct sites (fractional):
Y 0.000 0.000 0.000 x2
Fe 0.000 0.000 0.381 x4
Bi 0.000 0.500 0.250 x4

Summary:
DFT formation energy in kcal/mol of atoms: 2.783
Theoretical density in g/cm³: 9.2
Calculated total energy in eV/cell: -61.1
Total magnetic moment in μB/cell: 8.383
Distance to the lowest polymorph of the same formula in eV/f.u.: 0.00